(1)
# TaHgS2 | OQMD | PBE-GGA | optimized geometry
# * M_tot: 0.05 μB per cell
# * E_tot: -70.4 eV/cell
data_TaHgS2
_chemical_formula_sum 'Ta3 Hg3 S6'
_cell_length_a 3.3606
_cell_length_b 3.3606
_cell_length_c 27.7931
_cell_angle_alpha 90.00
_cell_angle_beta 90.00
_cell_angle_gamma 120.00
_space_group_name_H-M_alt 'R -3 m'
_space_group_IT_number 166
_space_group_name_Hall '-R 3 2"'
loop_
_atom_site_label
_atom_site_type_symbol
_atom_site_fract_x
_atom_site_fract_y
_atom_site_fract_z
Ta1 Ta 0.0000 0.0000 0.0000
Hg1 Hg 0.0000 0.0000 0.5000
S1 S 0.0000 0.0000 0.2776

(2)
# Ta2HgS5 | OQMD | PBE-GGA | optimized geometry
# * M_tot: 0.02 μB per cell
# * E_tot: -199.6 eV/cell
data_Ta2HgS5
_chemical_formula_sum 'Ta8 Hg4 S20'
_cell_length_a 3.466
_cell_length_b 14.149
_cell_length_c 14.778
_cell_angle_alpha 90.00
_cell_angle_beta 90.00
_cell_angle_gamma 90.00
_space_group_name_H-M_alt 'C m c m'
_space_group_IT_number 63
_space_group_name_Hall '-C 2c 2'
loop_
_atom_site_label
_atom_site_type_symbol
_atom_site_fract_x
_atom_site_fract_y
_atom_site_fract_z
Ta1 Ta 0.000 0.210 0.088
Hg1 Hg 0.000 0.454 0.750
S1 S 0.000 0.167 0.575
S2 S 0.000 0.228 0.250
S3 S 0.000 0.423 0.590

(3)
# TbTlHg3S4 | OQMD | PBE-GGA | optimized geometry
# * E above lowest polymorph: 0.45 eV per formula unit
# * M_tot: 0.00 μB per cell
# * E_tot: -28.6 eV/cell
data_TbTlHg3S4
_chemical_formula_sum 'Tb1 Tl1 Hg3 S4'
_cell_length_a 6.700
_cell_length_b 6.700
_cell_length_c 6.700
_cell_angle_alpha 90.00
_cell_angle_beta 90.00
_cell_angle_gamma 90.00
_space_group_name_H-M_alt 'P -4 3 m'
_space_group_IT_number 215
_space_group_name_Hall 'P -4 2 3'
loop_
_atom_site_label
_atom_site_type_symbol
_atom_site_fract_x
_atom_site_fract_y
_atom_site_fract_z
Tb1 Tb 0.000 0.000 0.000
Tl1 Tl 0.500 0.500 0.500
Hg1 Hg 0.000 0.000 0.500
S1 S 0.224 0.224 0.776

(4)
# TbTlHg3S4 | OQMD | PBE-GGA | optimized geometry
# * E above lowest polymorph: 0.00 eV per formula unit
# * M_tot: 0.01 μB per cell
# * E_tot: -58.1 eV/cell
data_TbTlHg3S4
_chemical_formula_sum 'Tb2 Tl2 Hg6 S8'
_cell_length_a 6.412
_cell_length_b 7.729
_cell_length_c 11.674
_cell_angle_alpha 90.00
_cell_angle_beta 92.17
_cell_angle_gamma 90.00
_space_group_name_H-M_alt 'P 1 21/m 1'
_space_group_IT_number 11
loop_
_space_group_symop_operation_xyz
'x,y,z'
'-x,-y,-z'
'-x,y+1/2,-z'
'x,-y+1/2,z'
loop_
_atom_site_label
_atom_site_type_symbol
_atom_site_fract_x
_atom_site_fract_y
_atom_site_fract_z
Tb1 Tb 0.115 0.250 0.210
Tl1 Tl 0.482 0.250 0.648
Hg1 Hg 0.190 0.030 0.952
Hg2 Hg 0.357 0.750 0.684
S1 S 0.132 0.010 0.730
S2 S 0.312 0.250 0.408
S3 S 0.448 0.250 0.056

(5)
# HgTeS2 | OQMD | PBE-GGA | optimized geometry
# * E_tot: -34.0 eV/cell
data_HgTeS2
_chemical_formula_sum 'Hg3 Te3 S6'
_cell_length_a 3.8074
_cell_length_b 3.8074
_cell_length_c 31.3499
_cell_angle_alpha 90.00
_cell_angle_beta 90.00
_cell_angle_gamma 120.00
_space_group_name_H-M_alt 'R -3 m'
_space_group_IT_number 166
_space_group_name_Hall '-R 3 2"'
loop_
_atom_site_label
_atom_site_type_symbol
_atom_site_fract_x
_atom_site_fract_y
_atom_site_fract_z
Hg1 Hg 0.0000 0.0000 0.0000
Te1 Te 0.0000 0.0000 0.5000
S1 S 0.0000 0.0000 0.1171

(6)
# Tl2Hg4S | OQMD | PBE-GGA | optimized geometry
# * E_tot: -21.1 eV/cell
data_Tl2Hg4S
_chemical_formula_sum 'Tl4 Hg8 S2'
_cell_length_a 10.852
_cell_length_b 8.460
_cell_length_c 5.044
_cell_angle_alpha 90.00
_cell_angle_beta 109.07
_cell_angle_gamma 90.00
_space_group_name_H-M_alt 'C 1 2/m 1'
_space_group_IT_number 12
loop_
_space_group_symop_operation_xyz
'x,y,z'
'-x,-y,-z'
'-x,y,-z'
'x,-y,z'
'x+1/2,y+1/2,z'
'-x+1/2,-y+1/2,-z'
'-x+1/2,y+1/2,-z'
'x+1/2,-y+1/2,z'
loop_
_atom_site_label
_atom_site_type_symbol
_atom_site_fract_x
_atom_site_fract_y
_atom_site_fract_z
Tl1 Tl 0.235 0.000 0.488
Hg1 Hg 0.108 0.272 0.795
S1 S 0.000 0.000 0.000